1.
DFT (PBE-GGA) results for a relaxed structure of AcSmHo.

Cell and atoms, written as extended XYZ:
```
3
Lattice="2.791 -4.426 2.163 -1.971 -5.249 -0.788 2.745 -3.569 -3.434" Properties=species:S:1:pos:R:3 pbc="T T T"
Ac 1.782 -6.622 -1.029
Ho 0.891 -3.311 -0.515
Sm 0.000 0.000 0.000
```

Summary:
Space-group type ... F-43m (216)
ρ ... 7.0 g cm⁻³
Formation energy from the elements ... 0.661 eV per atom
VASP energy ... -3.80 eV/atom
V ... 42.790 A^3/atom
Excess energy over the best structure of this formula in the dataset ... 0.0000 eV per atom

2.
DFT (PBE-GGA) results for a relaxed structure of NdSmPO.

Cell and atoms, written as extended XYZ:
```
8
Lattice="-1.076 0.083 4.252 -0.736 -4.324 -0.102 8.581 -1.512 2.202" Properties=species:S:1:pos:R:3 pbc="T T T"
Nd 4.291 -0.756 1.101
Nd 3.385 -2.877 3.176
O 0.000 0.000 0.000
O -0.906 -2.121 2.075
P 2.002 -0.406 2.778
P 5.674 -3.227 1.499
Sm 0.514 -2.317 0.175
Sm 7.161 -1.316 4.101
```

Summary:
Space-group type ... P4/nmm (129)
ρ ... 6.6 g cm⁻³
VASP energy ... -6.77 eV/atom
V ... 21.624 A^3/atom
Excess energy over the best structure of this formula in the dataset ... 0.1355 eV per atom

3.
DFT (PBE-GGA) results for a relaxed structure of GaCuSi17Ge13.

Cell and atoms, written as extended XYZ:
```
32
Lattice="5.590 0.000 0.000 0.000 3.946 0.000 -0.267 0.000 31.337" Properties=species:S:1:pos:R:3 pbc="T T T"
Cu 1.322 0.000 21.717
Ga -0.133 0.000 19.609
Ge 4.230 1.973 0.062
Ge 5.526 0.000 3.869
Ge 2.789 1.973 5.910
Ge 1.316 0.000 5.919
Ge 5.463 0.000 11.685
Ge 1.326 0.000 13.686
Ge 4.056 1.973 15.676
Ge -0.073 0.000 15.731
Ge 3.980 1.973 19.712
Ge 3.955 1.973 23.456
Ge 5.315 0.000 27.318
Ge 2.580 1.973 29.347
Ge 1.113 0.000 29.378
Si 0.034 0.000 0.048
Si 1.416 0.000 1.951
Si 2.749 1.973 1.985
Si 4.128 1.973 3.893
Si 5.502 0.000 7.890
Si 4.157 1.973 7.906
Si 1.345 0.000 9.760
Si 2.691 1.973 9.779
Si 4.060 1.973 11.708
Si 2.720 1.973 13.658
Si 2.677 1.973 17.659
Si 1.362 0.000 17.684
Si 2.462 1.973 21.539
Si 5.355 0.000 23.424
Si 1.175 0.000 25.350
Si 2.517 1.973 25.422
Si 3.912 1.973 27.326
```

Summary:
Space-group type ... Pm (6)
ρ ... 3.7 g cm⁻³
VASP energy ... -4.90 eV/atom
V ... 21.598 A^3/atom